DFT (PBE+U) results for an optimized crystal structure of Cr5InO8.

a = 6.149 Å, b = 6.149 Å, c = 6.149 Å
α = 60.00°, β = 60.00°, γ = 60.00°
Each line ends with the local moment (μB).
Fractional positions:
Cr  0.627  0.627  0.627  3.16
Cr  0.627  0.118  0.627  3.16
Cr  0.000  0.000  0.000  4.06
Cr  0.118  0.627  0.627  3.16
Cr  0.627  0.627  0.118  3.16
In  0.250  0.250  0.250  0.07
O  0.860  0.860  0.421  -0.10
O  0.390  0.390  0.390  -0.03
O  0.390  0.831  0.390  -0.03
O  0.860  0.860  0.860  -0.10
O  0.860  0.421  0.860  -0.10
O  0.390  0.390  0.831  -0.03
O  0.831  0.390  0.390  -0.03
O  0.421  0.860  0.860  -0.10

**Crystal system**: cubic
**Energy**: -104.778 eV for the cell shown
**Symmetry**: F-43m (216)